Computed, not measured: crystalline CrN2O2 at its relaxed geometry at the PBE with a Hubbard U level of DFT.

Summary:
theoretical density = 4.3 g/cm3
polymorph energy (0 for the lowest one) = 1074 meV per atom
E_tot = -4.68 eV per atom

a = 3.544 Å, b = 3.544 Å, c = 3.480 Å
α = 90.00°, β = 90.00°, γ = 90.00°
Space group P4/mmm (No. 123)
Inequivalent atoms, fractional coordinates:
Cr  0.000  0.000  0.000 [1 per cell]
N  0.000  0.500  0.500 [2 per cell]
O  0.500  0.500  0.000 [1 per cell]
O  0.500  0.500  0.500 [1 per cell]